RbTlO (PBE, relaxed); total moment = 0.00 μB per cell; space group = Immm, No. 71; formation energy from raw total energies = -0.732 eV per atom
1.0
-6.799 -4.689 0.924
1.190 -2.480 -3.825
5.976 -0.321 4.969
Tl Rb O
2 2 2
Direct
0.197 0.500 0.000
0.803 0.500 0.000
0.670 0.170 0.340
0.330 0.830 0.660
0.876 0.376 0.752
0.124 0.624 0.248

LaYSn (PBE, relaxed); total moment = 0.00 μB per cell; DOS at the Fermi energy = 0.774 states/eV/atom; relative energy among the computed polymorphs = 0.2281 eV/atom; ΔE_f = -0.4208 eV per atom; space group = P3m1, No. 156
1.0
-4.049 -0.528 -1.125
1.491 -1.300 -4.758
-0.531 -3.632 3.617
Sn Y La
1 1 1
Direct
0.780 0.667 0.333
0.873 0.000 0.000
0.347 0.333 0.667

SrHgOs2 (PBE, relaxed); total moment = 0.00 μB per cell; DOS at the Fermi energy = 0.948 states/eV/atom; ΔE_f = 1.1912 eV per atom; space group = Cmmm, No. 65
1.0
2.885 0.011 0.000
-1.168 2.638 0.000
0.000 0.000 9.871
Os Sr Hg
2 1 1
Direct
0.000 0.000 0.510
0.000 0.000 0.990
0.500 0.500 0.250
0.500 0.500 0.750

Bi3PdBr (PBE, relaxed); total moment = 0.00 μB per cell; DOS at the Fermi energy = 1.416 states/eV/atom; relative energy among the computed polymorphs = 1.1939 eV/atom; space group = Pm-3m, No. 221; formation energy from raw total energies = 1.026 eV per atom
1.0
-2.310 -1.196 -5.009
-4.064 -2.948 2.578
-3.163 4.662 0.346
Pd Bi Br
1 3 1
Direct
0.500 0.500 0.500
0.000 0.000 0.500
0.000 0.500 0.000
0.500 0.000 0.000
0.000 0.000 0.000

AlFePCl2 (PBE, relaxed); total moment = 3.81 μB per cell; DOS at the Fermi energy = 1.503 states/eV/atom; relative energy among the computed polymorphs = 0.1001 eV/atom; space group = P4/mmm, No. 123; formation energy from raw total energies = 0.221 eV per atom
1.0
-1.065 4.268 1.068
0.480 -0.979 4.393
4.912 1.289 -0.250
Cl Fe Al P
2 1 1 1
Direct
0.000 0.500 0.000
0.500 0.000 0.000
0.500 0.500 0.500
0.000 0.000 0.000
0.000 0.000 0.500

In3HgS6 (PBE, relaxed); total moment = 0.00 μB per cell; DOS at the Fermi energy = 0.619 states/eV/atom; space group = R-3, No. 148; formation energy from raw total energies = -0.237 eV per atom
1.0
-2.850 -7.280 -0.474
5.781 -2.492 4.660
-4.508 1.432 6.243
S In Hg
12 6 2
Direct
0.607 0.820 0.462
0.083 0.317 0.905
0.317 0.905 0.083
0.462 0.607 0.820
0.538 0.393 0.180
0.905 0.083 0.317
0.095 0.917 0.683
0.917 0.683 0.095
0.393 0.180 0.538
0.180 0.538 0.393
0.683 0.095 0.917
0.820 0.462 0.607
0.071 0.241 0.561
0.439 0.929 0.759
0.241 0.561 0.071
0.929 0.759 0.439
0.561 0.071 0.241
0.759 0.439 0.929
0.000 0.000 0.000
0.500 0.500 0.500

Sc4AgAu2 (PBE, relaxed); total moment = 0.00 μB per cell; DOS at the Fermi energy = 0.944 states/eV/atom; ΔE_f = -0.4904 eV per atom; space group = R-3m, No. 166
1.0
-0.571 1.916 4.322
-4.295 1.529 1.378
-3.176 -5.814 4.781
Sc Au Ag
4 2 1
Direct
0.129 0.129 0.614
0.871 0.871 0.386
0.620 0.620 0.141
0.380 0.380 0.859
0.250 0.250 0.250
0.750 0.750 0.750
0.000 0.000 0.000

AlCdBr2 (PBE, relaxed); total moment = 0.00 μB per cell; DOS at the Fermi energy = 0.344 states/eV/atom; relative energy among the computed polymorphs = 0.3313 eV/atom; space group = I-4m2, No. 119; formation energy from raw total energies = -0.153 eV per atom
1.0
-3.882 4.292 4.754
-4.414 -1.560 5.846
6.514 -1.241 -3.480
Al Cd Br
1 1 2
Direct
0.750 0.250 0.500
0.500 0.500 0.000
0.250 0.750 0.500
0.000 0.000 0.000